Record 1
LiNi4P2 | GGA-PBE | relaxed

## Properties
ΔH_f (0 K): -0.5541 eV per atom
M_tot: 0.0 μB per formula unit
space-group type: P4_2/mnm (136)

Unit cell a=3.508 b=6.951 c=6.951 alpha=90.00 beta=90.00 gamma=90.00
Fractional positions:
1 Li 0.500 0.000 0.000
2 Li 0.000 0.500 0.500
3 Ni 0.500 0.574 0.173
4 Ni 0.000 0.673 0.926
5 Ni 0.000 0.327 0.074
6 Ni 0.500 0.173 0.574
7 Ni 0.500 0.426 0.827
8 Ni 0.000 0.926 0.673
9 Ni 0.500 0.827 0.426
10 Ni 0.000 0.074 0.327
11 P 0.000 0.235 0.765
12 P 0.000 0.765 0.235
13 P 0.500 0.265 0.265
14 P 0.500 0.735 0.735

***

Record 2
Li2Ni21P6 | GGA-PBE | relaxed

## Properties
ΔH_f (0 K): -0.3833 eV per atom
M_tot: 0.0 μB per formula unit
space-group type: Fm-3m (225)

Unit cell a=7.791 b=7.791 c=7.791 alpha=60.00 beta=60.00 gamma=60.00
Fractional positions:
1 Li 0.250 0.250 0.250
2 Li 0.750 0.750 0.750
3 P 0.266 0.266 0.734
4 P 0.734 0.266 0.734
5 P 0.266 0.734 0.734
6 P 0.734 0.266 0.266
7 P 0.734 0.734 0.266
8 P 0.266 0.734 0.266
9 Ni 0.000 0.000 0.653
10 Ni 0.618 0.147 0.618
11 Ni 0.000 0.347 0.653
12 Ni 0.382 0.382 0.853
13 Ni 0.653 0.000 0.347
14 Ni 0.147 0.618 0.618
15 Ni 0.382 0.853 0.382
16 Ni 0.653 0.347 0.000
17 Ni 0.347 0.000 0.000
18 Ni 0.000 0.653 0.000
19 Ni 0.000 0.347 0.000
20 Ni 0.618 0.618 0.147
21 Ni 0.618 0.618 0.618
22 Ni 0.000 0.000 0.347
23 Ni 0.382 0.382 0.382
24 Ni 0.347 0.000 0.653
25 Ni 0.000 0.653 0.347
26 Ni 0.000 0.000 0.000
27 Ni 0.653 0.000 0.000
28 Ni 0.853 0.382 0.382
29 Ni 0.347 0.653 0.000

***

Record 3
LiNi5P2 | GGA-PBE | relaxed

## Properties
ΔH_f (0 K): -0.4705 eV per atom
M_tot: 0.0 μB per formula unit
space-group type: Immm (71)

Unit cell a=3.483 b=5.690 c=5.690 alpha=69.99 beta=72.18 gamma=72.18
Fractional positions:
1 Ni 0.348 0.844 0.461
2 Ni 0.652 0.156 0.539
3 Ni 0.652 0.539 0.156
4 Ni 0.348 0.461 0.844
5 Ni 0.000 0.500 0.500
6 P 0.746 0.754 0.754
7 P 0.254 0.246 0.246
8 Li 0.000 0.000 0.000